Ba3Ac3CoO8, relaxed, DFT GGA+U; space-group type = R-3m, No. 166; E = -6.6299 eV per atom; total magnetic moment = 2.19 μB per formula unit
1.0
-5.776 4.754 -0.061
1.536 -4.097 -6.072
-2.869 -3.406 6.187
Ba O Ac Co
3 8 3 1
direct
0.000 0.500 0.000 Ba
0.500 0.500 0.000 Ba
0.000 0.000 0.000 Ba
0.232 0.975 0.707 O
0.768 0.025 0.293 O
0.743 0.975 0.707 O
0.743 0.485 0.728 O
0.232 0.464 0.707 O
0.257 0.025 0.293 O
0.257 0.515 0.272 O
0.768 0.536 0.293 O
0.500 0.500 0.500 Ac
0.000 0.500 0.500 Ac
0.500 0.000 0.500 Ac
0.000 0.000 0.500 Co